Material: CrAg2MoAs
Method: DFT, PBE-GGA
State: relaxed

As for the symmetry: P4/mmm (123). The value obtained for the final energy is -25.83 eV/cell. Its formation energy is 4.981 eV per formula unit. Its density of states at the Fermi level is 0.66 states/eV per atom. Its total moment is 2.696 μB/f.u.

Cell and atoms, written as CIF:
```
data_CrAg2MoAs
_chemical_formula_sum 'Cr1 Ag2 Mo1 As1'
_cell_length_a 4.8149
_cell_length_b 4.8149
_cell_length_c 4.8010
_cell_angle_alpha 90.00
_cell_angle_beta 90.00
_cell_angle_gamma 90.00
_symmetry_space_group_name_H-M 'P 1'
_symmetry_Int_Tables_number 1
loop_
_symmetry_equiv_pos_as_xyz
'x,y,z'
loop_
_atom_site_label
_atom_site_fract_x
_atom_site_fract_y
_atom_site_fract_z
Cr1 0.0000 0.0000 0.0000
Ag1 0.0000 0.5000 0.5000
Ag2 0.5000 0.0000 0.5000
Mo1 0.5000 0.5000 0.0000
As1 0.5000 0.5000 0.5000
```